Li2Fe3TeO8: optimized geometry, GGA+U.

Lattice parameters (Å, degrees): 6.0893 6.1341 8.6879 88.19 89.99 90.00
With the nearest neighbours (Å) after each atom.
Fractional positions:
Li 0.0019 0.2756 0.1410  4 O 1.99-2.11
Li 0.4981 0.7756 0.6410  4 O 1.98-2.11
Li 0.0019 0.7244 0.8590  4 O 1.98-2.11
Li 0.4981 0.2244 0.3590  4 O 1.99-2.11
Fe 0.7500 0.2500 0.7500  6 O 1.98-2.12
Fe 0.7500 0.7500 0.2500  6 O 1.98-2.12
Fe 0.2500 0.2500 0.7500  6 O 2.06-2.21
Fe 0.0000 0.5001 0.5000  6 O 1.98-2.14
Fe 0.5000 0.9999 0.0000  6 O 1.98-2.14
Fe 0.2500 0.7500 0.2500  6 O 2.06-2.21
Te 0.9941 0.0001 0.5000  6 O 1.96-2.00
Te 0.5059 0.4999 0.0000  6 O 1.96-2.00
O 0.9918 0.5345 0.2723  3 Fe 1.98-2.06, 1 Li 1.99
O 0.5082 0.0344 0.7723  3 Fe 1.98-2.06, 1 Li 1.98
O 0.9918 0.4655 0.7277  3 Fe 1.98-2.06, 1 Li 1.98
O 0.5082 0.9655 0.2277  3 Fe 1.98-2.06, 1 Li 1.99
O 0.2143 0.7664 0.5026  1 Te 1.96, 1 Fe 2.09, 1 Li 2.11
O 0.7306 0.2638 0.9927  1 Te 2.00, 1 Li 2.10, 2 Fe 2.12-2.14
O 0.7694 0.7640 0.4927  1 Te 1.99, 1 Li 2.10, 2 Fe 2.12-2.14
O 0.2857 0.2661 0.0026  1 Te 1.96, 1 Fe 2.09, 1 Li 2.11
O 0.9876 0.9941 0.2746  1 Te 1.96, 1 Li 2.05, 1 Fe 2.10
O 0.5124 0.4939 0.7747  1 Te 1.96, 1 Li 2.05, 1 Fe 2.10
O 0.9876 0.0061 0.7253  1 Te 1.96, 1 Li 2.05, 1 Fe 2.10
O 0.5124 0.5059 0.2254  1 Te 1.96, 1 Li 2.05, 1 Fe 2.10
O 0.2143 0.2339 0.4974  1 Te 1.96, 1 Fe 2.09, 1 Li 2.11
O 0.7306 0.7360 0.0073  1 Te 1.99, 1 Li 2.10, 2 Fe 2.12-2.14
O 0.7694 0.2362 0.5073  1 Te 2.00, 1 Li 2.10, 2 Fe 2.12-2.14
O 0.2857 0.7336 0.9974  1 Te 1.96, 1 Fe 2.09, 1 Li 2.11

Calculated values
Space-group type = P2/c
Distance to the lowest polymorph of the same formula = 0.000 eV per atom
Magnetic moment = 1.00 μB/atom
V = 11.58 Å³ per atom